# Rb2CaWO6

An optimized crystal structure of Rb2CaWO6 (GGA+U, Alexandria).

a b c (Å): 6.133 6.133 6.133
angles (deg): 60.00 60.00 60.00
Fractional positions:
1 Rb 0.250 0.250 0.250
2 Rb 0.750 0.750 0.750
3 Ca 0.000 0.000 0.000
4 W 0.500 0.500 0.500
5 O 0.275 0.275 0.725
6 O 0.275 0.725 0.275
7 O 0.275 0.725 0.725
8 O 0.725 0.275 0.275
9 O 0.725 0.275 0.725
10 O 0.725 0.725 0.275

**SG**: Fm-3m
**Size of the total moment**: 2.0 μB/cell
**DFT total energy**: -5.991 eV per atom